The following is a DFT calculation (GGA-PBE) of Tb3Pm7Nd after structural relaxation.

Values from the calculation:
Formation energy ... 0.222 eV/atom
Polymorph energy (0 for the lowest one) ... 37 meV/atom
Space group ... C2/m (12)

Unit cell a=6.453 b=7.791 c=7.793 alpha=81.54 beta=85.61 gamma=85.62
Positions (direct):
Tb (0.000, 0.830, 0.170)
Tb (0.500, 0.000, 0.000)
Tb (0.000, 0.170, 0.830)
Pm (0.788, 0.236, 0.236)
Pm (0.740, 0.925, 0.576)
Pm (0.260, 0.424, 0.075)
Pm (0.740, 0.576, 0.925)
Pm (0.000, 0.500, 0.500)
Pm (0.260, 0.075, 0.424)
Pm (0.212, 0.764, 0.764)
Nd (0.500, 0.500, 0.500)